CsMgI3 (PBE, optimized geometry); calculated volume = 47.53 Å³/atom; Fermi-level density of states = 0.0000 states/eV/atom
1.0
7.979 -1.214 0.000
-2.839 7.857 0.000
0.000 0.000 8.023
I Mg Cs
6 2 2
direct
0.293 0.306 0.750
0.787 0.250 0.497
0.707 0.694 0.250
0.787 0.250 0.003
0.213 0.750 0.997
0.213 0.750 0.503
0.941 0.539 0.250
0.059 0.461 0.750
0.263 0.197 0.250
0.737 0.803 0.750

***

Cs12Mg3I5 (PBE, optimized geometry); calculated volume = 82.65 Å³/atom; Fermi-level density of states = 0.9317 states/eV/atom
1.0
-5.693 -6.595 18.534
4.140 -16.077 -11.992
16.721 11.693 1.754
Cs Mg I
48 12 20
direct
0.328 0.544 0.414
0.956 0.370 0.284
0.672 0.216 0.586
0.828 0.914 0.044
0.216 0.672 0.086
0.586 0.630 0.414
0.086 0.172 0.216
0.414 0.284 0.328
0.172 0.086 0.716
0.086 0.914 0.130
0.086 0.914 0.370
0.172 0.086 0.956
0.456 0.672 0.086
0.914 0.828 0.544
0.630 0.044 0.216
0.130 0.716 0.544
0.672 0.456 0.586
0.870 0.586 0.914
0.370 0.414 0.086
0.216 0.544 0.630
0.284 0.870 0.956
0.956 0.586 0.172
0.716 0.586 0.172
0.328 0.784 0.414
0.414 0.044 0.328
0.456 0.784 0.870
0.414 0.370 0.586
0.914 0.086 0.630
0.370 0.956 0.784
0.828 0.914 0.284
0.544 0.216 0.130
0.914 0.828 0.784
0.716 0.130 0.044
0.914 0.086 0.870
0.586 0.956 0.672
0.414 0.130 0.586
0.044 0.630 0.716
0.586 0.716 0.672
0.630 0.586 0.914
0.586 0.870 0.414
0.044 0.414 0.828
0.544 0.328 0.914
0.784 0.328 0.914
0.870 0.284 0.456
0.784 0.456 0.370
0.130 0.414 0.086
0.284 0.414 0.828
0.086 0.172 0.456
0.875 0.750 0.125
0.875 0.125 0.250
0.250 0.125 0.375
0.625 0.375 0.750
0.125 0.250 0.875
0.375 0.625 0.250
0.750 0.875 0.625
0.750 0.375 0.125
0.375 0.750 0.625
0.625 0.250 0.375
0.250 0.625 0.875
0.125 0.875 0.750
0.750 0.625 0.375
0.500 0.500 0.000
0.375 0.125 0.750
0.000 0.000 0.000
0.500 0.500 0.500
0.000 0.000 0.500
0.625 0.750 0.875
0.375 0.250 0.125
0.625 0.875 0.250
0.000 0.500 0.000
0.125 0.750 0.375
0.875 0.625 0.750
0.875 0.250 0.625
0.750 0.125 0.875
0.125 0.375 0.250
0.500 0.000 0.000
0.000 0.500 0.500
0.500 0.000 0.500
0.250 0.375 0.625
0.250 0.875 0.125

***

Cs3MgI4 (PBE, optimized geometry); calculated volume = 64.00 Å³/atom; Fermi-level density of states = 0.3790 states/eV/atom
1.0
8.886 -0.138 0.184
-4.497 7.666 -0.184
-3.726 -2.871 7.543
Mg I Cs
1 4 3
direct
0.013 0.500 0.513
0.088 0.749 0.340
0.163 0.306 0.469
0.163 0.694 0.857
0.591 0.251 0.340
0.557 0.225 0.782
0.557 0.775 0.332
0.018 0.000 0.018

***

Cs3MgI (PBE, optimized geometry); calculated volume = 82.12 Å³/atom; Fermi-level density of states = 0.9807 states/eV/atom; ΔE to the lowest computed polymorph = 0.000 eV per formula unit
1.0
-4.375 -6.008 -0.068
-0.033 -0.060 7.432
-6.009 4.375 0.008
Cs Mg I
3 1 1
direct
0.000 0.000 0.500
0.000 0.500 0.000
0.500 0.000 0.000
0.500 0.500 0.500
0.000 0.000 0.000

***

Cs2MgI5 (PBE, optimized geometry); calculated volume = 62.70 Å³/atom; Fermi-level density of states = 1.3767 states/eV/atom
1.0
6.117 0.000 0.000
-3.059 9.826 0.000
0.000 0.000 16.690
I Cs Mg
10 4 2
direct
0.956 0.912 0.868
0.254 0.508 0.126
0.044 0.088 0.132
0.351 0.702 0.750
0.254 0.508 0.374
0.746 0.492 0.626
0.044 0.088 0.368
0.649 0.298 0.250
0.746 0.492 0.874
0.956 0.912 0.632
0.857 0.714 0.432
0.143 0.286 0.568
0.143 0.286 0.932
0.857 0.714 0.068
0.849 0.697 0.750
0.151 0.303 0.250

***

Cs2MgI2 (PBE, optimized geometry); calculated volume = 54.89 Å³/atom; Fermi-level density of states = 0.0000 states/eV/atom; ΔE to the lowest computed polymorph = 0.119 eV per formula unit
1.0
10.747 0.000 0.000
0.000 10.747 0.000
0.000 0.000 4.753
Cs I Mg
4 4 2
direct
0.357 0.857 0.000
0.143 0.357 0.000
0.643 0.143 0.000
0.857 0.643 0.000
0.155 0.655 0.500
0.845 0.345 0.500
0.345 0.155 0.500
0.655 0.845 0.500
0.500 0.500 0.000
0.000 0.000 0.000

***

Cs5MgI8 (PBE, optimized geometry); calculated volume = 57.16 Å³/atom; Fermi-level density of states = 1.1570 states/eV/atom
1.0
-2.170 2.279 -9.682
-1.178 -9.860 2.241
-6.425 6.121 4.990
I Cs Mg
8 5 1
direct
0.087 0.211 0.760
0.124 0.673 0.913
0.104 0.788 0.518
0.550 0.789 0.876
0.482 0.587 0.270
0.730 0.212 0.316
0.240 0.327 0.450
0.684 0.413 0.896
0.740 0.595 0.615
0.385 0.124 0.980
0.856 0.876 0.260
0.020 0.405 0.144
0.500 0.000 0.500
0.250 0.500 0.750

***

Cs2MgI4 (PBE, optimized geometry); calculated volume = 48.19 Å³/atom; Fermi-level density of states = 0.0000 states/eV/atom
1.0
5.954 0.000 0.000
0.000 5.954 0.000
2.977 2.977 9.515
Mg Cs I
1 2 4
direct
0.000 0.000 0.000
0.360 0.360 0.280
0.640 0.640 0.720
0.000 0.500 0.000
0.500 0.000 0.000
0.154 0.154 0.693
0.846 0.846 0.307

***

Number 1: formation energy from raw total energies -1.24 eV/atom, magnetic moment 0.00 Bohr magnetons per cell. Number 2: formation energy from raw total energies -0.58 eV/atom, magnetic moment 10.34 Bohr magnetons per cell. Number 3: formation energy from raw total energies -1.12 eV/atom, magnetic moment 0.45 Bohr magnetons per cell. Number 4: formation energy from raw total energies -0.37 eV/atom, magnetic moment 0.00 Bohr magnetons per cell. Number 5: formation energy from raw total energies -1.02 eV/atom, magnetic moment 2.13 Bohr magnetons per cell. Number 6: formation energy from raw total energies -0.92 eV/atom, magnetic moment 0.00 Bohr magnetons per cell. Number 7: formation energy from raw total energies -1.24 eV/atom, magnetic moment 1.05 Bohr magnetons per cell. Number 8: formation energy from raw total energies -1.33 eV/atom, magnetic moment 0.00 Bohr magnetons per cell.